Entry 1:
{"formula": "FeMo2", "functional": "PBE", "state": "optimized geometry", "lattice_angstrom": [[-1.341, 1.341, 5.885], [1.341, -1.341, 5.885], [1.341, 1.341, -5.885]], "species": ["Fe", "Mo", "Mo"], "frac_coords": [[0.000, 0.000, 0.000], [0.348, 0.348, 0.000], [0.652, 0.652, 0.000]], "sg": "I4/mmm (139)", "formation_enthalpy_0k_ev_per_atom": 0.16}



Entry 2:
{"formula": "Pm4Ge2H", "functional": "PBE", "state": "optimized geometry", "lattice_angstrom": [[-2.272, 2.272, 8.247], [2.272, -2.272, 8.247], [2.272, 2.272, -8.247]], "species": ["Pm", "Pm", "Pm", "Pm", "Ge", "Ge", "H"], "frac_coords": [[0.000, 0.500, 0.500], [0.182, 0.182, 0.000], [0.500, 0.000, 0.500], [0.818, 0.818, 0.000], [0.365, 0.365, 0.000], [0.635, 0.635, 0.000], [0.000, 0.000, 0.000]], "sg": "I4/mmm (139)"}



Entry 3:
{"formula": "Li2CoH", "functional": "PBE", "state": "optimized geometry", "lattice_angstrom": [[-3.737, 3.737, 1.603], [3.737, -3.737, 1.603], [3.737, 3.737, -1.603]], "species": ["Li", "Li", "Li", "Li", "Co", "Co", "H", "H"], "frac_coords": [[0.375, 0.014, 0.139], [0.764, 0.625, 0.639], [0.875, 0.236, 0.861], [0.986, 0.125, 0.361], [0.250, 0.750, 0.500], [0.500, 0.500, 0.000], [0.000, 0.000, 0.000], [0.750, 0.250, 0.500]], "sg": "I-42d (122)"}



Entry 4:
{"formula": "AgGe3Se", "functional": "PBE", "state": "optimized geometry", "lattice_angstrom": [[5.159, 0.000, 0.000], [0.000, 5.159, 0.000], [0.000, 0.000, 5.159]], "species": ["Ag", "Ge", "Ge", "Ge", "Se"], "frac_coords": [[0.000, 0.000, 0.000], [0.000, 0.500, 0.500], [0.500, 0.000, 0.500], [0.500, 0.500, 0.000], [0.500, 0.500, 0.500]], "sg": "Pm-3m (221)", "raw_formation_energy_ev_per_atom": 0.772}



Entry 5:
{"formula": "Na2BePdO4", "functional": "PBE", "state": "optimized geometry", "lattice_angstrom": [[0.000, 5.367, 8.257], [2.634, 0.000, 8.257], [2.634, 5.367, 0.000]], "species": ["Na", "Na", "Na", "Na", "Be", "Be", "Pd", "Pd", "O", "O", "O", "O", "O", "O", "O", "O"], "frac_coords": [[0.064, 0.064, 0.686], [0.314, 0.314, 0.936], [0.686, 0.686, 0.064], [0.936, 0.936, 0.314], [0.375, 0.375, 0.375], [0.625, 0.625, 0.625], [0.125, 0.125, 0.125], [0.875, 0.875, 0.875], [0.030, 0.629, 0.542], [0.299, 0.542, 0.629], [0.371, 0.970, 0.701], [0.458, 0.701, 0.970], [0.542, 0.299, 0.030], [0.629, 0.030, 0.299], [0.701, 0.458, 0.371], [0.970, 0.371, 0.458]], "sg": "Fddd (70)", "raw_formation_energy_ev_per_atom": -1.077}



Entry 6:
{"formula": "LaBrNF2", "functional": "PBE", "state": "optimized geometry", "lattice_angstrom": [[4.563, 0.000, 0.000], [0.000, 4.563, 0.000], [0.000, 0.000, 5.349]], "species": ["La", "Br", "N", "F", "F"], "frac_coords": [[0.000, 0.000, 0.000], [0.500, 0.500, 0.500], [0.000, 0.000, 0.500], [0.000, 0.500, 0.000], [0.500, 0.000, 0.000]], "sg": "P4/mmm (123)", "raw_formation_energy_ev_per_atom": -1.584}



Entry 7:
{"formula": "TbSc2Hg", "functional": "PBE", "state": "optimized geometry", "lattice_angstrom": [[1.709, 0.987, 10.133], [-1.709, 0.987, 10.133], [0.000, -1.974, 10.133]], "species": ["Tb", "Sc", "Sc", "Hg"], "frac_coords": [[0.000, 0.000, 0.000], [0.243, 0.243, 0.243], [0.757, 0.757, 0.757], [0.500, 0.500, 0.500]], "sg": "R-3m (166)", "formation_enthalpy_0k_ev_per_atom": -0.11}



Entry 8:
{"formula": "LaSn2Pb2", "functional": "PBE", "state": "optimized geometry", "lattice_angstrom": [[8.450, 0.000, 0.000], [0.000, 8.450, 0.000], [0.000, 0.000, 4.337]], "species": ["La", "La", "Sn", "Sn", "Sn", "Sn", "Pb", "Pb", "Pb", "Pb"], "frac_coords": [[0.000, 0.000, 0.000], [0.500, 0.500, 0.000], [0.126, 0.374, 0.000], [0.374, 0.874, 0.000], [0.626, 0.126, 0.000], [0.874, 0.626, 0.000], [0.166, 0.666, 0.500], [0.334, 0.166, 0.500], [0.666, 0.834, 0.500], [0.834, 0.334, 0.500]], "sg": "P4/mbm (127)", "formation_enthalpy_0k_ev_per_atom": -0.22}



Entry 9:
{"formula": "Mg3Si4", "functional": "PBE", "state": "optimized geometry", "lattice_angstrom": [[4.094, 0.000, 0.000], [-1.986, 8.282, 0.000], [-0.028, -4.109, 7.769]], "species": ["Mg", "Mg", "Mg", "Mg", "Mg", "Mg", "Si", "Si", "Si", "Si", "Si", "Si", "Si", "Si"], "frac_coords": [[0.000, 0.000, 0.000], [0.020, 0.038, 0.656], [0.126, 0.251, 0.391], [0.231, 0.463, 0.122], [0.796, 0.591, 0.517], [0.904, 0.808, 0.236], [0.243, 0.504, 0.729], [0.382, 0.765, 0.007], [0.387, 0.779, 0.451], [0.416, 0.837, 0.754], [0.531, 0.059, 0.434], [0.604, 0.195, 0.904], [0.635, 0.268, 0.197], [0.660, 0.330, 0.713]], "sg": "P1 (1)", "raw_formation_energy_ev_per_atom": 0.092}



Entry 10:
{"formula": "La5Th2Tl2", "functional": "PBE", "state": "optimized geometry", "lattice_angstrom": [[8.514, -4.370, 0.000], [8.514, 4.370, 0.000], [0.000, 0.000, 8.554]], "species": ["La", "La", "La", "La", "La", "La", "La", "La", "La", "La", "Th", "Th", "Th", "Th", "Tl", "Tl", "Tl", "Tl"], "frac_coords": [[0.000, 0.000, 0.000], [0.029, 0.685, 0.664], [0.185, 0.529, 0.164], [0.315, 0.971, 0.664], [0.471, 0.815, 0.164], [0.500, 0.500, 0.500], [0.529, 0.185, 0.836], [0.685, 0.029, 0.336], [0.815, 0.471, 0.836], [0.971, 0.315, 0.336], [0.135, 0.865, 0.362], [0.365, 0.635, 0.862], [0.635, 0.365, 0.138], [0.865, 0.135, 0.638], [0.204, 0.204, 0.000], [0.296, 0.296, 0.500], [0.704, 0.704, 0.500], [0.796, 0.796, 0.000]], "sg": "Cmce (64)", "formation_enthalpy_0k_ev_per_atom": -0.01}



Entry 11:
{"formula": "Sc2HgH", "functional": "PBE", "state": "optimized geometry", "lattice_angstrom": [[0.000, 3.345, 3.345], [3.345, 0.000, 3.345], [3.345, 3.345, 0.000]], "species": ["Sc", "Sc", "Hg", "H"], "frac_coords": [[0.250, 0.250, 0.250], [0.750, 0.750, 0.750], [0.000, 0.000, 0.000], [0.500, 0.500, 0.500]], "sg": "Fm-3m (225)"}



Entry 12:
{"formula": "HoTm2TcO8", "functional": "PBE", "state": "optimized geometry", "lattice_angstrom": [[3.511, -3.548, 0.000], [3.511, 3.548, 0.000], [0.000, 0.000, 6.656]], "species": ["Ho", "Tm", "Tm", "Tc", "O", "O", "O", "O", "O", "O", "O", "O"], "frac_coords": [[0.000, 0.000, 0.000], [0.500, 0.500, 0.248], [0.500, 0.500, 0.752], [0.000, 0.000, 0.500], [0.184, 0.816, 0.291], [0.184, 0.816, 0.709], [0.272, 0.272, 0.500], [0.308, 0.308, 0.000], [0.692, 0.692, 0.000], [0.728, 0.728, 0.500], [0.816, 0.184, 0.291], [0.816, 0.184, 0.709]], "sg": "Cmmm (65)", "raw_formation_energy_ev_per_atom": -2.677}



| no. | volume (Å³ per cell) | E_tot (eV for the cell shown) |
| --- | --- | --- |
| 1 | 42.3 | -29.66 |
| 2 | 170.3 | -35.90 |
| 3 | 89.5 | -26.91 |
| 4 | 137.3 | -16.33 |
| 5 | 233.4 | -80.01 |
| 6 | 111.4 | -26.59 |
| 7 | 102.6 | -18.03 |
| 8 | 309.7 | -42.94 |
| 9 | 263.4 | -51.67 |
| 10 | 636.5 | -88.69 |
| 11 | 74.9 | -16.17 |
| 12 | 165.8 | -95.67 |